Entry 1:
{"formula": "IrOs", "functional": "PBE", "state": "relaxed", "e_tot_ev_per_atom": -8.61, "delta_e_f_kcal_per_mol_atoms": 33.02, "lattice_angstrom": [[10.0523, 0.0000, 0.0000], [0.0000, 10.9523, 0.0000], [0.0000, 0.0000, 8.1424]], "species": ["Os", "Os", "Os", "Os", "Os", "Os", "Os", "Os", "Os", "Os", "Os", "Os", "Os", "Os", "Os", "Os", "Ir", "Ir", "Ir", "Ir", "Ir", "Ir", "Ir", "Ir", "Ir", "Ir", "Ir", "Ir", "Ir", "Ir", "Ir", "Ir"], "frac_coords": [[0.0000, 0.3464, 0.5000], [0.5000, 0.3464, 0.0000], [0.0000, 0.6536, 0.5000], [0.7500, 0.0964, 0.2500], [0.5000, 0.6536, 0.0000], [0.5000, 0.1536, 0.5000], [0.2500, 0.5964, 0.2500], [0.2500, 0.0964, 0.7500], [0.2500, 0.4036, 0.7500], [0.5000, 0.8464, 0.5000], [0.2500, 0.9036, 0.2500], [0.0000, 0.8464, 0.0000], [0.7500, 0.5964, 0.7500], [0.7500, 0.4036, 0.2500], [0.7500, 0.9036, 0.7500], [0.0000, 0.1536, 0.0000], [0.3293, 0.0000, 0.5000], [0.8293, 0.0000, 0.0000], [0.4207, 0.7500, 0.2500], [0.9207, 0.2500, 0.2500], [0.0793, 0.7500, 0.2500], [0.6707, 0.0000, 0.5000], [0.5793, 0.7500, 0.7500], [0.8293, 0.5000, 0.5000], [0.9207, 0.7500, 0.7500], [0.1707, 0.0000, 0.0000], [0.1707, 0.5000, 0.5000], [0.6707, 0.5000, 0.0000], [0.5793, 0.2500, 0.2500], [0.3293, 0.5000, 0.0000], [0.4207, 0.2500, 0.7500], [0.0793, 0.2500, 0.7500]]}

---

Entry 2:
{"formula": "Ir5Os", "functional": "PBE", "state": "relaxed", "e_tot_ev_per_atom": -9.20, "delta_e_f_kcal_per_mol_atoms": 1.21, "lattice_angstrom": [[-0.8593, -2.2420, 1.3520], [3.1394, 2.5002, 3.3333], [-4.0453, 3.6709, 3.5163]], "species": ["Ir", "Ir", "Ir", "Ir", "Ir", "Os"], "frac_coords": [[0.3860, 0.7720, 0.7272], [0.0578, 0.1156, 0.3847], [0.6666, 0.3331, 0.6672], [0.3315, 0.6629, 0.3319], [0.0017, 0.0034, 0.0010], [0.7231, 0.4463, 0.0546]]}

---

Entry 3:
{"formula": "IrOs5", "functional": "PBE", "state": "relaxed", "e_tot_ev_per_atom": -10.73, "delta_e_f_kcal_per_mol_atoms": 2.46, "lattice_angstrom": [[-2.5592, 0.3018, -0.9055], [0.5565, -1.6335, -2.1172], [-3.2802, -9.1710, 6.2136]], "species": ["Os", "Os", "Os", "Os", "Os", "Ir"], "frac_coords": [[0.5000, 0.5000, 0.3328], [0.0000, 0.0000, 0.1689], [0.0000, 0.0000, 0.5000], [0.5000, 0.5000, 0.6672], [0.0000, 0.0000, 0.8311], [0.5000, 0.5000, 0.0000]]}

---

Entry 4:
{"formula": "IrOs5", "functional": "PBE", "state": "relaxed", "e_tot_ev_per_atom": -10.83, "delta_e_f_kcal_per_mol_atoms": 0.13, "lattice_angstrom": [[2.7561, 0.0000, 0.0000], [-1.3780, 4.9643, -0.0035], [0.0000, 1.5289, 6.2785]], "species": ["Ir", "Os", "Os", "Os", "Os", "Os"], "frac_coords": [[0.0008, 0.0015, 0.9989], [0.6675, 0.3350, 0.6630], [0.3326, 0.6653, 0.3359], [0.0550, 0.1100, 0.3900], [0.3875, 0.7750, 0.7218], [0.7232, 0.4465, 0.0571]]}

---

Entry 5:
{"formula": "IrOs2", "functional": "PBE", "state": "relaxed", "e_tot_ev_per_atom": -10.37, "delta_e_f_kcal_per_mol_atoms": 1.52, "lattice_angstrom": [[-5.5741, 0.0253, -2.4877], [-5.9443, -0.3766, 1.3355], [5.6812, 2.0953, 0.7704]], "species": ["Ir", "Os", "Os"], "frac_coords": [[0.5000, 0.5000, 0.0000], [0.8306, 0.8306, 0.0000], [0.1694, 0.1694, 0.0000]]}

---

Entry 6:
{"formula": "Ir8Os", "functional": "PBE", "state": "relaxed", "e_tot_ev_per_atom": -9.13, "delta_e_f_kcal_per_mol_atoms": -0.24, "lattice_angstrom": [[-2.2154, 3.1667, -0.2360], [-5.5560, -1.6651, -1.9495], [-0.5882, -2.3601, 5.6148]], "species": ["Ir", "Ir", "Ir", "Ir", "Ir", "Ir", "Ir", "Ir", "Os"], "frac_coords": [[0.3361, 0.3277, 0.0000], [0.0000, 0.3314, 0.3314], [0.0000, 0.6686, 0.6686], [0.6639, 0.0000, 0.3277], [0.3361, 0.0000, 0.6723], [0.6639, 0.6723, 0.0000], [0.3314, 0.6686, 0.3314], [0.6686, 0.3314, 0.6686], [0.0000, 0.0000, 0.0000]]}

---

Entry 7:
{"formula": "IrOs", "functional": "PBE", "state": "relaxed", "e_tot_ev_per_atom": -9.62, "delta_e_f_kcal_per_mol_atoms": 9.90, "lattice_angstrom": [[4.7242, -0.0061, -0.0041], [2.7944, 3.8091, -0.0041], [2.7944, 1.4135, 3.5371]], "species": ["Os", "Os", "Ir", "Ir"], "frac_coords": [[0.6745, 0.6745, 0.6745], [0.3255, 0.3255, 0.3255], [0.1076, 0.1076, 0.1076], [0.8924, 0.8924, 0.8924]]}

---

Entry 8:
{"formula": "Ir5Os", "functional": "PBE", "state": "relaxed", "e_tot_ev_per_atom": -9.25, "delta_e_f_kcal_per_mol_atoms": 0.05, "lattice_angstrom": [[6.1233, -0.0007, 0.0000], [-4.9029, 3.6684, 0.0000], [0.0000, 0.0000, 3.8690]], "species": ["Ir", "Ir", "Ir", "Ir", "Ir", "Os"], "frac_coords": [[0.1383, 0.8617, 0.5000], [0.6352, 0.3648, 0.0000], [0.4722, 0.5278, 0.5000], [0.8061, 0.1939, 0.5000], [0.3093, 0.6907, 0.0000], [0.9722, 0.0278, 0.0000]]}

---

Entry 9:
{"formula": "Ir2Os", "functional": "PBE", "state": "relaxed", "e_tot_ev_per_atom": -8.65, "delta_e_f_kcal_per_mol_atoms": 23.09, "lattice_angstrom": [[-3.5177, -1.6006, -1.1358], [2.0222, -4.1421, -0.4260], [-1.2922, -1.2192, 5.7205]], "species": ["Ir", "Ir", "Ir", "Ir", "Os", "Os"], "frac_coords": [[0.5000, 0.7100, 0.1144], [0.5000, 0.2900, 0.8856], [0.0000, 0.2100, 0.3856], [0.0000, 0.7900, 0.6144], [0.0000, 0.0000, 0.0000], [0.5000, 0.5000, 0.5000]]}

---

Entry 10:
{"formula": "Ir2Os", "functional": "PBE", "state": "relaxed", "e_tot_ev_per_atom": -9.62, "delta_e_f_kcal_per_mol_atoms": 0.70, "lattice_angstrom": [[2.7568, 0.0000, 0.0000], [1.3784, 4.9984, 0.0032], [0.0000, 1.5967, 6.3027]], "species": ["Ir", "Ir", "Ir", "Ir", "Os", "Os"], "frac_coords": [[0.9437, 0.1127, 0.3840], [0.3309, 0.3381, 0.6625], [0.0008, 0.9984, 0.0049], [0.6135, 0.7730, 0.7264], [0.2754, 0.4493, 0.0562], [0.6691, 0.6618, 0.3327]]}

---

Entry 11:
{"formula": "IrOs", "functional": "PBE", "state": "relaxed", "e_tot_ev_per_atom": -10.01, "delta_e_f_kcal_per_mol_atoms": 0.93, "lattice_angstrom": [[4.7730, 0.0071, -0.0022], [-2.4363, 4.5915, 0.0057], [0.0000, 0.8238, 2.6299]], "species": ["Ir", "Ir", "Os", "Os"], "frac_coords": [[0.0894, 0.5055, 0.2473], [0.9940, 0.9945, 0.0027], [0.5803, 0.4961, 0.7519], [0.5030, 0.0039, 0.4981]]}

---

Entry 12:
{"formula": "IrOs2", "functional": "PBE", "state": "relaxed", "e_tot_ev_per_atom": -9.86, "delta_e_f_kcal_per_mol_atoms": 13.43, "lattice_angstrom": [[2.8220, -3.6538, 1.8511], [-4.8140, -0.9293, -0.8381], [1.9340, 1.0078, -4.4705]], "species": ["Os", "Os", "Os", "Os", "Ir", "Ir"], "frac_coords": [[0.1379, 0.6379, 0.7758], [0.8621, 0.3621, 0.2242], [0.6379, 0.8621, 0.5000], [0.3621, 0.1379, 0.5000], [0.2500, 0.2500, 0.0000], [0.7500, 0.7500, 0.0000]]}

---

Entry 13:
{"formula": "IrOs2", "functional": "PBE", "state": "relaxed", "e_tot_ev_per_atom": -10.05, "delta_e_f_kcal_per_mol_atoms": 8.93, "lattice_angstrom": [[2.1714, -3.7610, 0.0000], [2.1714, 3.7610, 0.0000], [0.0000, 0.0000, 2.7279]], "species": ["Os", "Os", "Ir"], "frac_coords": [[0.6667, 0.3333, 0.0000], [0.3333, 0.6667, 0.0000], [0.0000, 0.0000, 0.5000]]}

---

Entry 14:
{"formula": "PIrOs2", "functional": "PBE", "state": "relaxed", "e_tot_ev_per_atom": -9.02, "delta_e_f_kcal_per_mol_atoms": 3.80, "lattice_angstrom": [[-1.4316, 2.1641, 4.4580], [1.4316, -2.1641, 4.4580], [1.4316, 2.1641, -4.4580]], "species": ["Os", "Os", "P", "Ir"], "frac_coords": [[0.0031, 0.0031, 0.0000], [0.2865, 0.7865, 0.5000], [0.4980, 0.4980, 0.0000], [0.7123, 0.2123, 0.5000]]}

---

Entry 15:
{"formula": "PIrOs2", "functional": "PBE", "state": "relaxed", "e_tot_ev_per_atom": -9.08, "delta_e_f_kcal_per_mol_atoms": 2.34, "lattice_angstrom": [[-3.3664, -7.4515, 1.2171], [-0.8998, -8.2168, 0.1187], [-1.1056, -7.6753, 2.8648]], "species": ["Os", "Os", "Ir", "P"], "frac_coords": [[0.2416, 0.2416, 0.2416], [0.7584, 0.7584, 0.7584], [0.0000, 0.0000, 0.0000], [0.5000, 0.5000, 0.5000]]}

---

Entry 16:
{"formula": "P2IrOs", "functional": "PBE", "state": "relaxed", "e_tot_ev_per_atom": -7.85, "delta_e_f_kcal_per_mol_atoms": -2.73, "lattice_angstrom": [[4.7344, 0.0000, 0.0275], [0.0000, 6.5625, 0.0000], [-1.5355, 0.0000, 4.0401]], "species": ["P", "P", "P", "P", "Ir", "Ir", "Os", "Os"], "frac_coords": [[0.5000, 0.0759, 0.0000], [0.0000, 0.6381, 0.0000], [0.0000, 0.1381, 0.5000], [0.5000, 0.5759, 0.5000], [0.0000, 0.9908, 0.0000], [0.0000, 0.4908, 0.5000], [0.5000, 0.2275, 0.5000], [0.5000, 0.7275, 0.0000]]}

---

Entry 17:
{"formula": "P2IrOs", "functional": "PBE", "state": "relaxed", "e_tot_ev_per_atom": -7.26, "delta_e_f_kcal_per_mol_atoms": 10.68, "lattice_angstrom": [[2.9256, -0.0079, 0.0000], [-1.5345, 2.4908, 0.0000], [0.0000, 0.0000, 7.9172]], "species": ["P", "P", "Os", "Ir"], "frac_coords": [[0.0000, 0.0000, 0.5043], [0.0000, 0.0000, 0.9957], [0.5000, 0.5000, 0.7500], [0.5000, 0.5000, 0.2500]]}

---

Entry 18:
{"formula": "PIrOs2", "functional": "PBE", "state": "relaxed", "e_tot_ev_per_atom": -8.77, "delta_e_f_kcal_per_mol_atoms": 9.40, "lattice_angstrom": [[-1.7471, 3.8399, 1.7067], [-3.5252, -1.7728, -2.2673], [-0.7824, -1.3743, 2.2911]], "species": ["Os", "Os", "Ir", "P"], "frac_coords": [[0.5000, 0.0000, 0.0000], [0.0000, 0.5000, 0.0000], [0.5000, 0.5000, 0.5000], [0.0000, 0.0000, 0.5000]]}

---

Entry 19:
{"formula": "P2IrOs", "functional": "PBE", "state": "relaxed", "e_tot_ev_per_atom": -7.36, "delta_e_f_kcal_per_mol_atoms": 8.58, "lattice_angstrom": [[5.0573, 0.0060, 0.0000], [2.5844, 4.3471, 0.0000], [-3.8209, -2.1765, 2.4980]], "species": ["P", "P", "Ir", "Os"], "frac_coords": [[0.0000, 0.0000, 0.0000], [0.2500, 0.7500, 0.5000], [0.5000, 0.5000, 0.0000], [0.7500, 0.2500, 0.5000]]}

---

Entry 20:
{"formula": "PIrOs2", "functional": "PBE", "state": "relaxed", "e_tot_ev_per_atom": -9.07, "delta_e_f_kcal_per_mol_atoms": 2.50, "lattice_angstrom": [[-0.4716, -3.8264, 0.3167], [0.1268, -0.2521, -2.8571], [5.0615, -0.7115, -1.0592]], "species": ["Ir", "Os", "Os", "P"], "frac_coords": [[0.5000, 0.5000, 0.5000], [0.0000, 0.8616, 0.7660], [0.0000, 0.1384, 0.2340], [0.5000, 0.5000, 0.0000]]}